[1]
Density functional theory data (PBE-GGA) for a relaxed YMgH2 crystal.

abc: 5.975 5.975 5.975
angles: 90.00 90.00 90.00
Atoms (fractional coordinates):
Y 0.000 0.000 0.000
Y 0.000 0.500 0.500
Y 0.500 0.000 0.500
Y 0.500 0.500 0.000
Mg 0.000 0.000 0.500
Mg 0.000 0.500 0.000
Mg 0.500 0.000 0.000
Mg 0.500 0.500 0.500
H 0.250 0.250 0.250
H 0.250 0.250 0.750
H 0.250 0.750 0.250
H 0.250 0.750 0.750
H 0.750 0.250 0.250
H 0.750 0.250 0.750
H 0.750 0.750 0.250
H 0.750 0.750 0.750

Results
- Space-group type: No. 225
- Density of states at the Fermi level: 10.9 states/eV/cell
- Uncorrected energy: -3.63 eV/atom
- Relative energy among the computed polymorphs: 103 kJ/mol of formula units



[2]
Density functional theory data (PBE-GGA) for a relaxed NdHoZn2Ga2 crystal.

abc: 4.446 4.446 7.382
angles: 90.00 90.00 120.00
Atoms (fractional coordinates):
Nd 0.000 0.000 0.000
Ho 0.000 0.000 0.500
Zn 0.333 0.667 0.275
Zn 0.667 0.333 0.725
Ga 0.333 0.667 0.734
Ga 0.667 0.333 0.266

Results
- Space-group type: No. 164
- Formation energy from the elements: -565 meV/atom
- Density of states at the Fermi level: 3.5 states/eV/cell
- Uncorrected energy: -3.56 eV/atom



[3]
Density functional theory data (PBE-GGA) for a relaxed CoIrSe2 crystal.

abc: 3.244 3.244 22.584
angles: 90.00 90.00 120.00
Atoms (fractional coordinates):
Co 0.000 0.000 0.000
Co 0.333 0.667 0.667
Co 0.667 0.333 0.333
Ir 0.000 0.000 0.500
Ir 0.333 0.667 0.167
Ir 0.667 0.333 0.833
Se 0.000 0.000 0.395
Se 0.000 0.000 0.605
Se 0.333 0.667 0.061
Se 0.333 0.667 0.272
Se 0.667 0.333 0.728
Se 0.667 0.333 0.939

Results
- Space-group type: No. 166
- Density of states at the Fermi level: 7.4 states/eV/cell
- Uncorrected energy: -5.58 eV/atom
- Relative energy among the computed polymorphs: 95 kJ/mol of formula units
- Formation energy from raw total energies: 0.604 eV per formula unit



[4]
Density functional theory data (PBE-GGA) for a relaxed LaPuMgZn crystal.

abc: 7.555 7.555 7.555
angles: 90.00 90.00 90.00
Atoms (fractional coordinates):
La 0.000 0.000 0.000
La 0.000 0.500 0.500
La 0.500 0.000 0.500
La 0.500 0.500 0.000
Pu 0.000 0.000 0.500
Pu 0.000 0.500 0.000
Pu 0.500 0.000 0.000
Pu 0.500 0.500 0.500
Mg 0.250 0.250 0.750
Mg 0.250 0.750 0.250
Mg 0.750 0.250 0.250
Mg 0.750 0.750 0.750
Zn 0.250 0.250 0.250
Zn 0.250 0.750 0.750
Zn 0.750 0.250 0.750
Zn 0.750 0.750 0.250

Results
- Space-group type: No. 216
- Formation energy from the elements: 14 meV/atom
- Density of states at the Fermi level: 41.7 states/eV/cell
- Uncorrected energy: -5.52 eV/atom



[5]
Density functional theory data (PBE-GGA) for a relaxed SrHf2GaAs crystal.

abc: 5.284 5.284 5.214
angles: 90.00 90.00 90.00
Atoms (fractional coordinates):
Sr 0.000 0.000 0.000
Hf 0.000 0.500 0.000
Hf 0.500 0.000 0.000
Ga 0.000 0.000 0.500
As 0.500 0.500 0.500

Results
- Space-group type: No. 123
- Formation energy from the elements: 1930 meV/atom
- Density of states at the Fermi level: 6.4 states/eV/cell
- Uncorrected energy: -3.92 eV/atom



[6]
Density functional theory data (PBE-GGA) for a relaxed LaNdZn4 crystal.

abc: 5.620 5.620 5.620
angles: 60.00 60.00 60.00
Atoms (fractional coordinates):
La 0.000 0.000 0.000
Nd 0.750 0.750 0.750
Zn 0.376 0.376 0.376
Zn 0.376 0.376 0.873
Zn 0.376 0.873 0.376
Zn 0.873 0.376 0.376

Results
- Space-group type: No. 216
- Formation energy from the elements: -328 meV/atom
- Density of states at the Fermi level: 3.1 states/eV/cell
- Uncorrected energy: -2.79 eV/atom
- Relative energy among the computed polymorphs: 9 kJ/mol of formula units



[7]
Density functional theory data (PBE-GGA) for a relaxed Na2Nd3DyTe6 crystal.

abc: 7.750 7.750 7.806
angles: 99.50 99.50 119.96
Atoms (fractional coordinates):
Na 0.165 0.835 0.000
Na 0.835 0.165 0.000
Nd 0.000 0.000 0.500
Nd 0.330 0.670 0.500
Nd 0.670 0.330 0.500
Dy 0.500 0.500 0.000
Te 0.091 0.419 0.757
Te 0.256 0.256 0.248
Te 0.419 0.091 0.757
Te 0.581 0.909 0.243
Te 0.744 0.744 0.752
Te 0.909 0.581 0.243

Results
- Space-group type: No. 12
- Density of states at the Fermi level: 3.9 states/eV/cell
- Uncorrected energy: -4.72 eV/atom
- Formation energy from raw total energies: -16.189 eV per formula unit



[8]
Density functional theory data (PBE-GGA) for a relaxed CuNiAsPd crystal.

abc: 6.011 6.011 6.011
angles: 90.00 90.00 90.00
Atoms (fractional coordinates):
Cu 0.000 0.000 0.000
Cu 0.000 0.500 0.500
Cu 0.500 0.000 0.500
Cu 0.500 0.500 0.000
Ni 0.250 0.250 0.750
Ni 0.250 0.750 0.250
Ni 0.750 0.250 0.250
Ni 0.750 0.750 0.750
As 0.000 0.000 0.500
As 0.000 0.500 0.000
As 0.500 0.000 0.000
As 0.500 0.500 0.500
Pd 0.250 0.250 0.250
Pd 0.250 0.750 0.750
Pd 0.750 0.250 0.750
Pd 0.750 0.750 0.250

Results
- Space-group type: No. 216
- Formation energy from the elements: -104 meV/atom
- Density of states at the Fermi level: 9.4 states/eV/cell
- Uncorrected energy: -5.03 eV/atom



[9]
Density functional theory data (PBE-GGA) for a relaxed NiSb2Cl crystal.

abc: 6.994 6.994 6.994
angles: 90.00 90.00 90.00
Atoms (fractional coordinates):
Ni 0.000 0.000 0.000
Ni 0.000 0.500 0.500
Ni 0.500 0.000 0.500
Ni 0.500 0.500 0.000
Sb 0.000 0.000 0.500
Sb 0.000 0.500 0.000
Sb 0.250 0.250 0.250
Sb 0.250 0.750 0.750
Sb 0.500 0.000 0.000
Sb 0.500 0.500 0.500
Sb 0.750 0.250 0.750
Sb 0.750 0.750 0.250
Cl 0.250 0.250 0.750
Cl 0.250 0.750 0.250
Cl 0.750 0.250 0.250
Cl 0.750 0.750 0.750

Results
- Space-group type: No. 216
- Density of states at the Fermi level: 17.0 states/eV/cell
- Uncorrected energy: -3.64 eV/atom
- Relative energy among the computed polymorphs: 244 kJ/mol of formula units
- Formation energy from raw total energies: 1.318 eV per formula unit



[10]
Density functional theory data (PBE-GGA) for a relaxed K2PuBiS4 crystal.

abc: 7.206 4.145 7.740
angles: 90.00 107.98 90.00
Atoms (fractional coordinates):
K 0.000 0.000 0.000
K 0.500 0.500 0.000
Pu 0.000 0.500 0.500
Bi 0.500 0.000 0.500
S 0.227 0.000 0.703
S 0.259 0.500 0.291
S 0.741 0.500 0.709
S 0.773 0.000 0.297

Results
- Space-group type: No. 10
- Density of states at the Fermi level: 10.2 states/eV/cell
- Uncorrected energy: -5.80 eV/atom
- Formation energy from raw total energies: -9.480 eV per formula unit



[11]
Density functional theory data (PBE-GGA) for a relaxed BaHf2Ge2 crystal.

abc: 5.124 5.124 10.499
angles: 90.00 90.00 90.00
Atoms (fractional coordinates):
Ba 0.000 0.000 0.000
Ba 0.500 0.500 0.500
Hf 0.000 0.000 0.329
Hf 0.000 0.000 0.671
Hf 0.500 0.500 0.171
Hf 0.500 0.500 0.829
Ge 0.000 0.500 0.250
Ge 0.000 0.500 0.750
Ge 0.500 0.000 0.250
Ge 0.500 0.000 0.750

Results
- Space-group type: No. 139
- Formation energy from the elements: -178 meV/atom
- Density of states at the Fermi level: 6.6 states/eV/cell
- Uncorrected energy: -6.39 eV/atom



[12]
Density functional theory data (PBE-GGA) for a relaxed LaIrBr2 crystal.

abc: 4.447 7.620 6.789
angles: 90.00 90.00 90.00
Atoms (fractional coordinates):
La 0.000 0.000 0.000
La 0.500 0.500 0.000
Ir 0.000 0.000 0.500
Ir 0.500 0.500 0.500
Br 0.000 0.500 0.280
Br 0.000 0.500 0.720
Br 0.500 0.000 0.280
Br 0.500 0.000 0.720

Results
- Space-group type: No. 65
- Density of states at the Fermi level: 8.2 states/eV/cell
- Uncorrected energy: -4.17 eV/atom
- Relative energy among the computed polymorphs: 375 kJ/mol of formula units
- Formation energy from raw total energies: 0.445 eV per formula unit